1.
Ho11Ni60C6: optimized geometry, GGA-PBE.

Results
The value obtained for the formation energy is -21.5 eV per formula unit. Its total DFT energy (no corrections) is -6.157 eV/atom. For the calculated density, the calculation gives 9.340 g cm⁻³.

abc: 12.4354 12.4354 12.4354
angles: 90.00 90.00 90.00
Closest atoms and distances in Å follow each position.
Space group Im-3m (No. 229)
Symmetry-distinct sites (fractional):
Ho: 0.0000 0.0000 0.5000 x6  2 C 2.60, 8 Ni 2.89
Ho: 0.1683 0.1683 0.1683 x16  15 Ni 2.83-2.98
Ni: 0.0000 0.0000 0.1428 x12  1 C 1.84
Ni: 0.0000 0.1477 0.3201 x48  1 C 1.87
Ni: 0.0000 0.2500 0.5000 x12  12 Ni 2.57-2.63
Ni: 0.0929 0.3256 0.3256 x48  7 Ni 2.31-2.50
C: 0.0000 0.0000 0.2908 x12  5 Ni 1.84-1.87

***

2.
Ho2NiC: optimized geometry, GGA-PBE.

Results
The value obtained for the formation energy is -0.8 eV per formula unit. Its total DFT energy (no corrections) is -6.243 eV/atom. For the calculated density, the calculation gives 9.025 g cm⁻³.

abc: 3.6005 3.6005 19.6952
angles: 90.00 90.00 120.00
Closest atoms and distances in Å follow each position.
Space group R-3m (No. 166, hexagonal axes)
Symmetry-distinct sites (fractional):
Ho: 0.0000 0.0000 0.2353 x6  3 C 2.48
Ni: 0.0000 0.0000 0.0000 x3  6 Ho 2.84
C: 0.0000 0.0000 0.5000 x3  6 Ho 2.48

***

3.
HoSiNiC: optimized geometry, GGA-PBE.

Results
Its total DFT energy (no corrections) is -6.810 eV/atom. For the calculated density, the calculation gives 7.625 g cm⁻³. The calculation puts the raw formation energy at -0.559 eV/atom.

abc: 3.6376 3.6376 8.6811
angles: 90.00 90.00 90.00
Closest atoms and distances in Å follow each position.
Space group P4/nmm (No. 129, origin choice 2)
Symmetry-distinct sites (fractional):
Ho: 0.2500 0.2500 0.1425 x2  5 C 2.37-2.57
Si: 0.2500 0.2500 0.6625 x2  1 C 1.79
Ni: 0.2500 0.7500 0.5000 x2  4 Si 2.30, 4 Ni 2.57
C: 0.2500 0.2500 0.8692 x2  1 Si 1.79

***

Calculated volume (Å³ per atom), listed in the same order as above: 12.49, 18.43, 14.36